Here is crystalline Mg2ZrSe at its relaxed geometry from the Alexandria database. Energies are from GGA-PBE.

```
data_Mg2ZrSe
_cell_length_a 3.4736
_cell_length_b 3.4736
_cell_length_c 26.3578
_cell_angle_alpha 90.00
_cell_angle_beta 90.00
_cell_angle_gamma 120.00
_space_group_name_H-M_alt 'R 3 m'
_space_group_IT_number 160
_space_group_name_Hall 'R 3 -2"'
loop_
_atom_site_label
_atom_site_type_symbol
_atom_site_fract_x
_atom_site_fract_y
_atom_site_fract_z
Mg1 Mg 0.0000 0.0000 0.0000
Mg2 Mg 0.0000 0.0000 0.2363
Zr1 Zr 0.0000 0.0000 0.4762
Se1 Se 0.0000 0.0000 0.7402
```

Summary:
For the total moment, the calculation gives 0.00 μB/cell. As for the density of states at the Fermi level: 0.545 states/eV per atom. The value obtained for the raw total energy is -51.08 eV for the cell shown. The calculated volume comes out at 275 Å³/cell. Its formation energy without anion corrections is -1.8 eV per formula unit.

Here is crystalline MnTlPdCl6 at its relaxed geometry from the Alexandria database. Energies are from GGA-PBE.

```
data_MnTlPdCl6
_cell_length_a 5.9803
_cell_length_b 7.0578
_cell_length_c 7.2928
_cell_angle_alpha 88.92
_cell_angle_beta 69.11
_cell_angle_gamma 76.06
_space_group_name_H-M_alt 'P 1'
_space_group_IT_number 1
_space_group_name_Hall 'P 1'
loop_
_atom_site_label
_atom_site_type_symbol
_atom_site_fract_x
_atom_site_fract_y
_atom_site_fract_z
Mn1 Mn 0.0000 0.0000 0.0000
Tl1 Tl 0.2558 0.4171 0.4443
Pd1 Pd 0.6291 0.7592 0.8795
Cl1 Cl 0.2517 0.1714 0.8131
Cl2 Cl 0.2567 0.6845 0.0549
Cl3 Cl 0.6165 0.9311 0.1561
Cl4 Cl 0.6826 0.5771 0.6011
Cl5 Cl 0.9281 0.1744 0.2733
Cl6 Cl 0.9834 0.8666 0.7148
```

Summary:
For the total moment, the calculation gives 3.89 μB/cell. The value obtained for the raw total energy is -35.05 eV for the cell shown. The calculated volume comes out at 278 Å³/cell. Its formation energy without anion corrections is -7.2 eV per formula unit.

Here is crystalline GaRu3Pb at its relaxed geometry from the Alexandria database. Energies are from GGA-PBE.

```
data_GaRu3Pb
_cell_length_a 4.5707
_cell_length_b 4.5707
_cell_length_c 4.5707
_cell_angle_alpha 90.00
_cell_angle_beta 90.00
_cell_angle_gamma 90.00
_space_group_name_H-M_alt 'P m -3 m'
_space_group_IT_number 221
_space_group_name_Hall '-P 4 2 3'
loop_
_atom_site_label
_atom_site_type_symbol
_atom_site_fract_x
_atom_site_fract_y
_atom_site_fract_z
Ga1 Ga 0.0000 0.0000 0.0000
Ru1 Ru 0.0000 0.0000 0.5000
Pb1 Pb 0.5000 0.5000 0.5000
```

Summary:
For the total moment, the calculation gives 1.04 μB/cell. As for the density of states at the Fermi level: 1.908 states/eV per atom. The value obtained for the formation energy is 1.0339 eV/atom. The value obtained for the raw total energy is -29.39 eV for the cell shown. The calculated volume comes out at 95 Å³/cell.

Here is crystalline KNp4Pd3Se12 at its relaxed geometry from the Alexandria database. Energies are from GGA-PBE.

```
data_KNp4Pd3Se12
_cell_length_a 10.2433
_cell_length_b 10.2433
_cell_length_c 10.2433
_cell_angle_alpha 90.00
_cell_angle_beta 90.00
_cell_angle_gamma 90.00
_space_group_name_H-M_alt 'I m -3'
_space_group_IT_number 204
_space_group_name_Hall '-I 2 2 3'
loop_
_atom_site_label
_atom_site_type_symbol
_atom_site_fract_x
_atom_site_fract_y
_atom_site_fract_z
K1 K 0.0000 0.0000 0.0000
Np1 Np 0.2500 0.2500 0.2500
Pd1 Pd 0.0000 0.0000 0.5000
Se1 Se 0.0000 0.1630 0.3179
```

Summary:
For the total moment, the calculation gives 22.00 μB/cell. As for the density of states at the Fermi level: 2.018 states/eV per atom. The value obtained for the raw total energy is -248.67 eV for the cell shown. The calculated volume comes out at 1075 Å³/cell. Its formation energy without anion corrections is -14.1 eV per formula unit.

Here is crystalline YLuB8Rh8 at its relaxed geometry from the Alexandria database. Energies are from GGA-PBE.

```
data_YLuB8Rh8
_cell_length_a 5.3286
_cell_length_b 5.3286
_cell_length_c 7.4486
_cell_angle_alpha 90.00
_cell_angle_beta 90.00
_cell_angle_gamma 90.00
_space_group_name_H-M_alt 'P -4 m 2'
_space_group_IT_number 115
_space_group_name_Hall 'P -4 -2'
loop_
_atom_site_label
_atom_site_type_symbol
_atom_site_fract_x
_atom_site_fract_y
_atom_site_fract_z
Y1 Y 0.0000 0.0000 0.0000
Lu1 Lu 0.5000 0.5000 0.5000
B1 B 0.0000 0.3311 0.3521
B2 B 0.1684 0.5000 0.8513
Rh1 Rh 0.0000 0.2492 0.6445
Rh2 Rh 0.2519 0.5000 0.1476
```

Summary:
For the total moment, the calculation gives 0.00 μB/cell. As for the density of states at the Fermi level: 0.492 states/eV per atom. The value obtained for the formation energy is -0.5808 eV/atom. The value obtained for the raw total energy is -133.67 eV for the cell shown. The calculated volume comes out at 211 Å³/cell.

Here is crystalline TbPmSi at its relaxed geometry from the Alexandria database. Energies are from GGA-PBE.

```
data_TbPmSi
_cell_length_a 11.4687
_cell_length_b 4.2418
_cell_length_c 8.2313
_cell_angle_alpha 90.00
_cell_angle_beta 126.41
_cell_angle_gamma 90.00
_space_group_name_H-M_alt 'C 1 2/m 1'
_space_group_IT_number 12
_space_group_name_Hall '-C 2y'
loop_
_atom_site_label
_atom_site_type_symbol
_atom_site_fract_x
_atom_site_fract_y
_atom_site_fract_z
Tb1 Tb 0.1764 0.0000 0.0756
Pm1 Pm 0.0859 0.5000 0.3603
Si1 Si 0.1207 0.0000 0.6592
```

Summary:
For the total moment, the calculation gives 0.00 μB/cell. As for the density of states at the Fermi level: 1.149 states/eV per atom. The value obtained for the raw total energy is -65.31 eV for the cell shown. The calculated volume comes out at 322 Å³/cell. Its formation energy without anion corrections is -1.5 eV per formula unit.

Here is crystalline Ac2Sm at its relaxed geometry from the Alexandria database. Energies are from GGA-PBE.

```
data_Ac2Sm
_cell_length_a 3.8947
_cell_length_b 3.8947
_cell_length_c 56.5871
_cell_angle_alpha 90.00
_cell_angle_beta 90.00
_cell_angle_gamma 120.00
_space_group_name_H-M_alt 'R -3 m'
_space_group_IT_number 166
_space_group_name_Hall '-R 3 2"'
loop_
_atom_site_label
_atom_site_type_symbol
_atom_site_fract_x
_atom_site_fract_y
_atom_site_fract_z
Ac1 Ac 0.0000 0.0000 0.1374
Ac2 Ac 0.0000 0.0000 0.3036
Sm1 Sm 0.0000 0.0000 0.4166
```

Summary:
For the total moment, the calculation gives 0.00 μB/cell. As for the density of states at the Fermi level: 1.373 states/eV per atom. The value obtained for the formation energy is 0.0438 eV/atom. The value obtained for the raw total energy is -76.83 eV for the cell shown. The calculated volume comes out at 743 Å³/cell.

Here is crystalline LiNb2B2 at its relaxed geometry from the Alexandria database. Energies are from GGA-PBE.

```
data_LiNb2B2
_cell_length_a 5.9549
_cell_length_b 5.9549
_cell_length_c 3.2847
_cell_angle_alpha 90.00
_cell_angle_beta 90.00
_cell_angle_gamma 90.00
_space_group_name_H-M_alt 'P 4/m b m'
_space_group_IT_number 127
_space_group_name_Hall '-P 4 2ab'
loop_
_atom_site_label
_atom_site_type_symbol
_atom_site_fract_x
_atom_site_fract_y
_atom_site_fract_z
Li1 Li 0.0000 0.0000 0.0000
Nb1 Nb 0.1813 0.3187 0.5000
B1 B 0.1044 0.6044 0.0000
```

Summary:
For the total moment, the calculation gives 0.00 μB/cell. As for the density of states at the Fermi level: 0.462 states/eV per atom. The value obtained for the formation energy is -0.3990 eV/atom. The value obtained for the raw total energy is -74.81 eV for the cell shown. The calculated volume comes out at 116 Å³/cell.